Entry 1:
Below is a relaxed Rb2HfCrAs crystal, with properties calculated at the PBE level.

Cell and atoms, written as POSCAR:
```
Rb2HfCrAs
1.0
6.8958 0.0000 0.0000
0.0000 4.6392 0.0000
0.0000 0.0000 6.8958
Rb Hf Cr As
2 1 1 1
direct
0.0000 0.0000 0.5000 Rb
0.5000 0.0000 0.0000 Rb
0.5000 0.5000 0.5000 Hf
0.0000 0.0000 0.0000 Cr
0.0000 0.5000 0.0000 As
```

Results
**SG**: P4/mmm
**E_tot**: -20.45 eV/f.u.

=====

Entry 2:
Below is a relaxed HfCrAs2Ru crystal, with properties calculated at the PBE level.

Cell and atoms, written as POSCAR:
```
HfCrAs2Ru
1.0
5.0349 0.0000 0.0000
0.0000 4.7446 0.0000
0.0000 0.0000 5.0349
Cr As Hf Ru
1 2 1 1
direct
0.5000 0.5000 0.5000 Cr
0.0000 0.0000 0.5000 As
0.5000 0.0000 0.0000 As
0.0000 0.0000 0.0000 Hf
0.0000 0.5000 0.0000 Ru
```

Results
**SG**: P4/mmm
**E_tot**: -31.00 eV/f.u.

=====

Entry 3:
Below is a relaxed HfCrSb2As crystal, with properties calculated at the PBE level.

Cell and atoms, written as POSCAR:
```
HfCrSb2As
1.0
-4.2141 -1.2260 -2.9564
2.9663 -1.4859 -3.6120
0.0073 -4.8917 2.0183
Hf Sb As Cr
1 2 1 1
direct
0.0000 0.5000 0.0000 Hf
0.0000 0.0000 0.5000 Sb
0.5000 0.0000 0.0000 Sb
0.0000 0.0000 0.0000 As
0.5000 0.5000 0.5000 Cr
```

Results
**SG**: P4/mmm
**Uncorrected formation energy**: 1.3175 eV per atom

=====

Entry 4:
Below is a relaxed HfCrAs2Se crystal, with properties calculated at the PBE level.

Cell and atoms, written as POSCAR:
```
HfCrAs2Se
1.0
-4.2310 -1.7160 -0.5840
1.4049 -4.0416 1.6968
-1.2280 1.4811 4.5446
As Se Cr Hf
2 1 1 1
direct
0.0000 0.5000 0.0000 As
0.5000 0.0000 0.0000 As
0.0000 0.0000 0.5000 Se
0.0000 0.0000 0.0000 Cr
0.5000 0.5000 0.5000 Hf
```

Results
**SG**: P4/mmm
**Uncorrected formation energy**: 0.3095 eV per atom
**Offset from the most stable computed form**: 0.00 eV/f.u.

=====

Number 4 is which compound? HfCrAs2Se